Computed, not measured: KCaCu2 after structural relaxation at the PBE level of DFT.

Results
The volume comes out at 107.7 Å³/f.u. For the density of states at the Fermi level, the calculation gives 3.4 states/eV/f.u. The calculation puts the formation enthalpy at 0 K at 0.217 eV/atom. For the magnetization, the calculation gives 0.00 Bohr magnetons per cell. Its space group is P4mm.

Cell: 3.462 3.462 8.985 Å, 90.00 90.00 90.00°
Positions (direct):
K: 0.000 0.000 0.000
Ca: 0.500 0.500 0.419
Cu: 0.000 0.000 0.639
Cu: 0.500 0.500 0.724